This record from Alexandria via LeMat-Bulk describes an optimized crystal structure of TcPb2Cl. The functional is PBE.

The structure belongs to space group C2/m (No. 12); the cell edges are 6.182, 3.568 and 8.824 Å and the angles 90.00°, 103.19° and 90.00°. Symmetry generates all atoms from Tc at (0.000, 0.000, 0.000), Pb at (0.240, 0.500, 0.224) and Cl at (0.000, 0.500, 0.500).

The energy above the most stable polymorph in this dataset comes out at 37 meV/atom. The value obtained for the total magnetization is 0.00 μB per formula unit. The value obtained for the formation energy (no corrections) is 0.22 eV per atom.